# TaZnGe3

A relaxed structure of TaZnGe3 (PBE-GGA, Alexandria). Values from VASP.

```
&SYSTEM
  ibrav = 0, nat = 5, ntyp = 3
/
ATOMIC_SPECIES
Ta 180.95 Ta.upf
Zn 65.41 Zn.upf
Ge 72.64 Ge.upf
CELL_PARAMETERS angstrom
5.044 0.000 0.000
0.000 5.044 0.000
0.000 0.000 5.044
ATOMIC_POSITIONS crystal
Ta 0.000 0.000 0.000
Zn 0.500 0.500 0.500
Ge 0.000 0.000 0.500
Ge 0.000 0.500 0.000
Ge 0.500 0.000 0.000
```

Values from the calculation:
Relative energy among the computed polymorphs = 0.000 eV/f.u.
Symmetry = No. 221
Formation enthalpy at 0 K = 2.5 eV per formula unit